Computed, not measured: SiNi2F2 after structural relaxation at the PBE+U level of DFT.

## Properties
* energy above the lowest structure with this stoichiometry: 1 kJ/mol of formula units
* D(E_F): 1.39 states/eV/f.u.
* size of the total moment: 2.16 μB/f.u.

POSCAR file:
```
SiNi2F2
1.0
-2.2876 2.2876 3.0510
2.2876 -2.2876 3.0510
2.2876 2.2876 -3.0510
Si Ni F
1 2 2
Direct
0.0000 0.0000 0.0000
0.2500 0.7500 0.5000
0.7500 0.2500 0.5000
0.3070 0.3070 0.0000
0.6930 0.6930 0.0000
```

=====

Computed, not measured: Si2NiF2 after structural relaxation at the PBE+U level of DFT.

## Properties
* energy above the lowest structure with this stoichiometry: 71 kJ/mol of formula units
* D(E_F): 1.29 states/eV/f.u.
* size of the total moment: 1.04 μB/f.u.

POSCAR file:
```
Si2NiF2
1.0
-1.6709 1.6709 6.4626
1.6709 -1.6709 6.4626
1.6709 1.6709 -6.4626
Si Ni F
2 1 2
Direct
0.2500 0.7500 0.5000
0.7500 0.2500 0.5000
0.0000 0.0000 0.0000
0.4054 0.4054 0.0000
0.5946 0.5946 0.0000
```

=====

Computed, not measured: SiNi2F after structural relaxation at the PBE+U level of DFT.

## Properties
* energy above the lowest structure with this stoichiometry: 0 kJ/mol of formula units
* D(E_F): 0.79 states/eV/f.u.
* size of the total moment: 2.02 μB/f.u.

POSCAR file:
```
SiNi2F
1.0
-3.0316 3.0316 2.8896
3.0316 -3.0316 2.8896
3.0316 3.0316 -2.8896
Si Ni F
2 4 2
Direct
0.0000 0.0000 0.0000
0.7500 0.2500 0.5000
0.1600 0.1250 0.5350
0.3750 0.8400 0.9650
0.5900 0.6250 0.4650
0.8750 0.4100 0.0350
0.2500 0.7500 0.5000
0.5000 0.5000 0.0000
```

=====

Computed, not measured: SiTcNiF2 after structural relaxation at the PBE+U level of DFT.

## Properties
* final energy: -23.1 eV per cell
* D(E_F): 3.58 states/eV/f.u.
* size of the total moment: 3.92 μB/f.u.

POSCAR file:
```
SiTcNiF2
1.0
3.6855 0.0000 0.0000
0.0000 3.6855 0.0000
0.0000 0.0000 5.3865
Si Tc Ni F
1 1 1 2
Direct
0.0000 0.0000 0.0000
0.0000 0.0000 0.5000
0.5000 0.5000 0.5000
0.0000 0.5000 0.0000
0.5000 0.0000 0.0000
```

=====

Computed, not measured: YSiNiF2 after structural relaxation at the PBE+U level of DFT.

## Properties
* final energy: -21.2 eV per cell
* D(E_F): 2.42 states/eV/f.u.
* size of the total moment: 0.00 μB/f.u.

POSCAR file:
```
YSiNiF2
1.0
3.8789 0.0000 0.0000
0.0000 3.8789 0.0000
0.0000 0.0000 6.1859
Y Si Ni F
1 1 1 2
Direct
0.0000 0.0000 0.0000
0.0000 0.0000 0.5000
0.5000 0.5000 0.0000
0.0000 0.5000 0.5000
0.5000 0.0000 0.5000
```

=====

Computed, not measured: NiSn3F after structural relaxation at the PBE+U level of DFT.

## Properties
* energy above the lowest structure with this stoichiometry: 0 kJ/mol of formula units
* D(E_F): 3.20 states/eV/f.u.
* size of the total moment: 0.00 μB/f.u.

POSCAR file:
```
NiSn3F
1.0
4.8891 0.0000 0.0000
0.0000 4.8891 0.0000
0.0000 0.0000 4.8891
Ni Sn F
1 3 1
Direct
0.0000 0.0000 0.0000
0.0000 0.0000 0.5000
0.0000 0.5000 0.0000
0.5000 0.0000 0.0000
0.5000 0.5000 0.5000
```